Zn2NiHgF8: relaxed, PBE+U.

Calculated values
The value obtained for the total magnetization is 0.167 μB/atom. For the raw total energy, the calculation gives -0.2657 Ry/atom. The value obtained for the density of states at the Fermi level is 0.00 states/eV/cell.

a = 6.064 Å, b = 6.064 Å, c = 6.064 Å
α = 109.76°, β = 109.76°, γ = 108.90°
Fractional positions:
Zn: 0.000 0.000 0.000
Zn: 0.750 0.250 0.500
Ni: 0.250 0.750 0.500
Hg: 0.500 0.500 0.000
F: 0.023 0.815 0.208
F: 0.134 0.454 0.681
F: 0.185 0.393 0.208
F: 0.185 0.977 0.792
F: 0.546 0.227 0.681
F: 0.546 0.866 0.319
F: 0.607 0.815 0.792
F: 0.773 0.454 0.319